Record 1
Here is an optimized crystal structure of Ba10LiW7O30 from Alexandria via LeMat-Bulk. Energies are from GGA-PBEsol.

Cell: 5.7813 5.7813 24.2307 Å, 90.00 90.00 120.00°
Space group P3m1 (No. 156)
One atom of each set of equivalent atoms:
Ba  0.0000  0.0000  0.0000 [1 per cell]
Ba  0.0000  0.0000  0.1964 [1 per cell]
Ba  0.0000  0.0000  0.4929 [1 per cell]
Ba  0.0000  0.0000  0.7017 [1 per cell]
Ba  0.3333  0.6667  0.3166 [1 per cell]
Ba  0.3333  0.6667  0.5917 [1 per cell]
Ba  0.3333  0.6667  0.8908 [1 per cell]
Ba  0.6667  0.3333  0.0980 [1 per cell]
Ba  0.6667  0.3333  0.4075 [1 per cell]
Ba  0.6667  0.3333  0.8004 [1 per cell]
Li  0.6667  0.3333  0.5323 [1 per cell]
W  0.3333  0.6667  0.0473 [1 per cell]
W  0.3333  0.6667  0.1491 [1 per cell]
W  0.3333  0.6667  0.4522 [1 per cell]
W  0.3333  0.6667  0.7513 [1 per cell]
W  0.6667  0.3333  0.2475 [1 per cell]
W  0.6667  0.3333  0.6487 [1 per cell]
W  0.6667  0.3333  0.9501 [1 per cell]
O  0.0162  0.5081  0.4998 [3 per cell]
O  0.1705  0.3409  0.0981 [3 per cell]
O  0.1794  0.3588  0.4063 [3 per cell]
O  0.1797  0.3595  0.7934 [3 per cell]
O  0.3512  0.1756  0.2829 [3 per cell]
O  0.3527  0.1764  0.6111 [3 per cell]
O  0.3535  0.1767  0.9118 [3 per cell]
O  0.5012  0.0024  0.0039 [3 per cell]
O  0.5013  0.0026  0.7027 [3 per cell]
O  0.5016  0.0031  0.1905 [3 per cell]

Summary:
* total energy: -8.34 eV per atom
* crystal system: trigonal
* ΔE_f (raw): -122.738 eV/f.u.

=====

Record 2
Here is an optimized crystal structure of K2TeBr6 from Alexandria via LeMat-Bulk. Energies are from GGA-PBEsol.

Cell: 7.401 7.743 12.782 Å, 90.00 124.95 90.00°
Space group P2_1/c (No. 14)
One atom of each set of equivalent atoms:
K  0.229  0.074  0.249 [4 per cell]
Te  0.500  0.000  0.000 [2 per cell]
Br  0.161  0.197  0.958 [4 per cell]
Br  0.269  0.708  0.966 [4 per cell]
Br  0.322  0.006  0.747 [4 per cell]

Summary:
* total energy: -2.90 eV per atom
* crystal system: monoclinic
* ΔE_f (raw): -9.119 eV/f.u.

=====

Record 3
Here is an optimized crystal structure of Cd2AgHg from Alexandria via LeMat-Bulk. Energies are from GGA-PBEsol.

Cell: 3.1069 3.1069 28.5183 Å, 90.00 90.00 120.00°
Space group R-3m (No. 166, hexagonal axes)
One atom of each set of equivalent atoms:
Cd  0.0000  0.0000  0.2459 [6 per cell]
Ag  0.0000  0.0000  0.5000 [3 per cell]
Hg  0.0000  0.0000  0.0000 [3 per cell]

Summary:
* E_form: -0.003 eV per atom
* total energy: -1.57 eV per atom
* crystal system: trigonal